Below is a relaxed LiBi crystal, with properties calculated at the GGA-PBE level.

It has space group F-43m (No. 216), with a = 6.287 Å, b = 6.287 Å, c = 6.287 Å, α = 90.00°, β = 90.00° and γ = 90.00°. The distinct sites, in fractional coordinates, are Li at (0.000, 0.000, 0.000) and Bi at (0.250, 0.250, 0.750).

For the electronic total energy, the calculation gives -2.55 eV/atom.



Below is a relaxed Li3Bi crystal, with properties calculated at the GGA-PBE level.

It has space group P4/mmm (No. 123), with a = 4.358 Å, b = 4.358 Å, c = 4.173 Å, α = 90.00°, β = 90.00° and γ = 90.00°. The distinct sites, in fractional coordinates, are Li at (0.000, 0.000, 0.000), Li at (0.000, 0.500, 0.500) and Bi at (0.500, 0.500, 0.000).

For the electronic total energy, the calculation gives -2.79 eV/atom.



Below is a relaxed LiBi crystal, with properties calculated at the GGA-PBE level.

It has space group Pm-3n (No. 223), with a = 7.736 Å, b = 7.736 Å, c = 7.736 Å, α = 90.00°, β = 90.00° and γ = 90.00°. The distinct sites, in fractional coordinates, are Li at (0.000, 0.250, 0.500) and Bi at (0.000, 0.500, 0.250).

For the electronic total energy, the calculation gives -2.53 eV/atom.



Below is a relaxed Li4Bi3 crystal, with properties calculated at the GGA-PBE level.

It has space group R-3m (No. 166, hexagonal axes), with a = 5.0518 Å, b = 5.0518 Å, c = 23.6657 Å, α = 90.00°, β = 90.00° and γ = 120.00°. The distinct sites, in fractional coordinates, are Li at (0.0000, 0.0000, 0.1177), Li at (0.0000, 0.0000, 0.3705), Bi at (0.0000, 0.0000, 0.2472) and Bi at (0.0000, 0.0000, 0.5000).

For the electronic total energy, the calculation gives -3.09 eV/atom.



Below is a relaxed LiBi crystal, with properties calculated at the GGA-PBE level.

It has space group P2_12_12_1 (No. 19), with a = 5.843 Å, b = 6.379 Å, c = 10.897 Å, α = 90.00°, β = 90.00° and γ = 90.00°. The distinct sites, in fractional coordinates, are Li at (0.057, 0.078, 0.182), Li at (0.209, 0.464, 0.573), Bi at (0.091, 0.622, 0.831) and Bi at (0.207, 0.953, 0.440).

For the electronic total energy, the calculation gives -3.20 eV/atom.



Below is a relaxed Li4Bi crystal, with properties calculated at the GGA-PBE level.

It has space group Pm-3m (No. 221), with a = 5.311 Å, b = 5.311 Å, c = 5.311 Å, α = 90.00°, β = 90.00° and γ = 90.00°. The distinct sites, in fractional coordinates, are Li at (0.000, 0.000, 0.000), Li at (0.000, 0.500, 0.500) and Bi at (0.500, 0.500, 0.500).

For the electronic total energy, the calculation gives -2.40 eV/atom.



Taking the records one at a time from the top gives E_form values of 0.3461 -0.3862 0.3659 -0.3345 -0.3036 -0.0956 eV/atom.
Taking the records one at a time from the top gives D(E_F) values of 9.8 1.8 13.7 5.5 4.4 2.0 states/eV per cell.
Taking the records one at a time from the top gives V values of 31.057 19.813 38.585 24.907 25.385 29.963 Å³ per atom.